(1)
Entry from Alexandria via LeMat-Bulk: a geometry-optimized Rb3Cr2AgF9 structure (PBE+U).

Values from the calculation:
* DFT total energy: -5.0158 eV per atom
* ρ: 4.3 g/cm³

Structure (CIF):
```
data_Rb3Cr2AgF9
_space_group_name_H-M_alt 'P -3 m 1'
_space_group_IT_number 164
_space_group_name_Hall '-P 3 2"'
_cell_length_a 6.0965
_cell_length_b 6.0965
_cell_length_c 7.6283
_cell_angle_alpha 90.00
_cell_angle_beta 90.00
_cell_angle_gamma 120.00
loop_
_atom_site_label
_atom_site_fract_x
_atom_site_fract_y
_atom_site_fract_z
_atom_site_occupancy
Rb1 0.0000 0.0000 0.0000 1
Rb2 0.3333 0.6667 0.6489 1
Cr1 0.3333 0.6667 0.1503 1
Ag1 0.0000 0.0000 0.5000 1
F1 0.0000 0.5000 0.0000 1
F2 0.1800 0.3600 0.3018 1
```

(2)
Entry from Alexandria via LeMat-Bulk: a geometry-optimized CrRe2AgF structure (PBE+U).

Values from the calculation:
* DFT total energy: -5.1982 eV per atom
* ρ: 7.0 g/cm³

Structure (CIF):
```
data_CrRe2AgF
_space_group_name_H-M_alt 'P 4/m m m'
_space_group_IT_number 123
_space_group_name_Hall '-P 4 2'
_cell_length_a 5.056
_cell_length_b 5.056
_cell_length_c 5.102
_cell_angle_alpha 90.00
_cell_angle_beta 90.00
_cell_angle_gamma 90.00
loop_
_atom_site_label
_atom_site_fract_x
_atom_site_fract_y
_atom_site_fract_z
_atom_site_occupancy
Cr1 0.000 0.000 0.000 1
Re1 0.000 0.500 0.500 1
Ag1 0.000 0.000 0.500 1
F1 0.500 0.500 0.000 1
```

- Which of these has the highest DFT total energy?
  Rb3Cr2AgF9

- Which value of DFT total energy does entry 2 give?
  -5.1982 eV per atom

- Which of these has the highest ρ?
  CrRe2AgF

- Number 1 is which compound?
  Rb3Cr2AgF9